# Mn2AsIr

A relaxed structure of Mn2AsIr (GGA-PBE, the Alexandria database).

POSCAR file:
```
Mn2AsIr
1.0
3.008 0.000 0.000
0.000 3.008 0.000
0.000 0.000 5.932
Mn As Ir
2 1 1
Cartesian
0.000 0.000 0.000 Mn
1.504 1.504 1.472 Mn
0.000 0.000 2.674 As
1.504 1.504 4.404 Ir
```

Results
ΔH_f (0 K), meV/atom: 50.0
Space group: No. 99